# PBE-GGA Th6TeAs3P2, optimized geometry
data_Th6TeAs3P2
_symmetry_space_group_name_H-M 'C 1 2/m 1'
_symmetry_Int_Tables_number 12
_symmetry_space_group_name_Hall '-C 2y'
_cell_length_a 18.493
_cell_length_b 4.242
_cell_length_c 8.539
_cell_angle_alpha 90.00
_cell_angle_beta 102.91
_cell_angle_gamma 90.00
loop_
_atom_site_label
_atom_site_type_symbol
_atom_site_fract_x
_atom_site_fract_y
_atom_site_fract_z
_atom_site_occupancy
Th1 Th 0.006 0.000 0.271 1
Th2 Th 0.170 0.500 0.578 1
Th3 Th 0.175 0.500 0.099 1
Te1 Te 0.000 0.500 0.000 1
As1 As 0.000 0.500 0.500 1
As2 As 0.161 0.000 0.834 1
P1 P 0.168 0.000 0.335 1
# raw formation energy	-1.378	eV per atom
# magnetization	0.000	μB per atom
# E	-7.413	eV/atom